# 1
Below is DyHIBr after structural relaxation, with properties calculated at the PBE level.

Structure (CIF):
```
data_DyHIBr
_chemical_formula_sum 'Dy2 H2 I2 Br2'
_space_group_name_H-M_alt 'P 1'
_space_group_IT_number 1
_cell_length_a 3.917
_cell_length_b 3.917
_cell_length_c 15.466
_cell_angle_alpha 90.00
_cell_angle_beta 90.00
_cell_angle_gamma 120.00
loop_
_space_group_symop_operation_xyz
'x,y,z'
loop_
_atom_site_label
_atom_site_fract_x
_atom_site_fract_y
_atom_site_fract_z
Dy1 0.000 0.000 0.000
Dy2 0.000 0.000 0.500
H1 0.333 0.667 0.003
H2 0.667 0.333 0.503
I1 0.333 0.667 0.638
I2 0.667 0.333 0.138
Br1 0.333 0.667 0.378
Br2 0.667 0.333 0.878
```

## Properties
Crystal system   hexagonal

# 2
Below is GaAsAuO after structural relaxation, with properties calculated at the PBE level.

Structure (CIF):
```
data_GaAsAuO
_chemical_formula_sum 'Ga2 As2 Au2 O2'
_space_group_name_H-M_alt 'P 1'
_space_group_IT_number 1
_cell_length_a 4.077
_cell_length_b 6.916
_cell_length_c 5.381
_cell_angle_alpha 90.00
_cell_angle_beta 90.00
_cell_angle_gamma 90.00
loop_
_space_group_symop_operation_xyz
'x,y,z'
loop_
_atom_site_label
_atom_site_fract_x
_atom_site_fract_y
_atom_site_fract_z
Ga1 0.000 0.150 0.000
Ga2 0.000 0.850 0.500
As1 0.500 0.338 0.891
As2 0.500 0.662 0.391
Au1 0.500 0.304 0.411
Au2 0.500 0.696 0.911
O1 0.000 0.089 0.342
O2 0.000 0.911 0.842
```

## Properties
Crystal system   orthorhombic
E above lowest polymorph   0.0 meV per atom

# 3
Below is NaCdAsO after structural relaxation, with properties calculated at the PBE level.

Structure (CIF):
```
data_NaCdAsO
_chemical_formula_sum 'Na2 Cd2 As2 O2'
_space_group_name_H-M_alt 'P 1'
_space_group_IT_number 1
_cell_length_a 4.112
_cell_length_b 4.112
_cell_length_c 9.127
_cell_angle_alpha 90.00
_cell_angle_beta 90.00
_cell_angle_gamma 90.00
loop_
_space_group_symop_operation_xyz
'x,y,z'
loop_
_atom_site_label
_atom_site_fract_x
_atom_site_fract_y
_atom_site_fract_z
Na1 0.250 0.750 0.000
Na2 0.750 0.250 0.000
Cd1 0.250 0.250 0.395
Cd2 0.750 0.750 0.605
As1 0.250 0.250 0.760
As2 0.750 0.750 0.240
O1 0.250 0.750 0.500
O2 0.750 0.250 0.500
```

## Properties
Crystal system   tetragonal
E above lowest polymorph   566.0 meV per atom

# 4
Below is KSnTe3Au after structural relaxation, with properties calculated at the PBE level.

Structure (CIF):
```
data_KSnTe3Au
_chemical_formula_sum 'K4 Sn4 Te12 Au4'
_space_group_name_H-M_alt 'P 1'
_space_group_IT_number 1
_cell_length_a 14.502
_cell_length_b 4.629
_cell_length_c 12.024
_cell_angle_alpha 90.00
_cell_angle_beta 90.00
_cell_angle_gamma 90.00
loop_
_space_group_symop_operation_xyz
'x,y,z'
loop_
_atom_site_label
_atom_site_fract_x
_atom_site_fract_y
_atom_site_fract_z
K1 0.162 0.250 0.006
K2 0.338 0.750 0.506
K3 0.662 0.250 0.494
K4 0.838 0.750 0.994
Sn1 0.020 0.750 0.651
Sn2 0.480 0.250 0.151
Sn3 0.520 0.750 0.849
Sn4 0.980 0.250 0.349
Te1 0.043 0.750 0.200
Te2 0.122 0.250 0.520
Te3 0.189 0.750 0.779
Te4 0.311 0.250 0.279
Te5 0.378 0.750 0.020
Te6 0.457 0.250 0.700
Te7 0.543 0.750 0.300
Te8 0.622 0.250 0.980
Te9 0.689 0.750 0.721
Te10 0.811 0.250 0.221
Te11 0.878 0.750 0.480
Te12 0.957 0.250 0.800
Au1 0.229 0.750 0.218
Au2 0.271 0.250 0.718
Au3 0.729 0.750 0.282
Au4 0.771 0.250 0.782
```

## Properties
Crystal system   orthorhombic
E above lowest polymorph   0.0 meV per atom

# 5
Below is Li4PdSeO6 after structural relaxation, with properties calculated at the PBE level.

Structure (CIF):
```
data_Li4PdSeO6
_chemical_formula_sum 'Li4 Pd1 Se1 O6'
_space_group_name_H-M_alt 'P 1'
_space_group_IT_number 1
_cell_length_a 5.159
_cell_length_b 5.159
_cell_length_c 5.123
_cell_angle_alpha 99.68
_cell_angle_beta 99.68
_cell_angle_gamma 119.98
loop_
_space_group_symop_operation_xyz
'x,y,z'
loop_
_atom_site_label
_atom_site_fract_x
_atom_site_fract_y
_atom_site_fract_z
Li1 0.000 0.000 0.000
Li2 0.162 0.838 0.500
Li3 0.508 0.492 0.500
Li4 0.840 0.160 0.500
Pd1 0.668 0.332 0.000
Se1 0.333 0.667 0.000
O1 0.077 0.425 0.241
O2 0.268 0.257 0.752
O3 0.427 0.076 0.234
O4 0.575 0.923 0.759
O5 0.743 0.732 0.248
O6 0.924 0.573 0.766
```

## Properties
Crystal system   monoclinic

# 6
Below is TbPm after structural relaxation, with properties calculated at the PBE level.

Structure (CIF):
```
data_TbPm
_chemical_formula_sum 'Tb1 Pm1'
_space_group_name_H-M_alt 'P 1'
_space_group_IT_number 1
_cell_length_a 4.777
_cell_length_b 4.777
_cell_length_c 4.777
_cell_angle_alpha 60.00
_cell_angle_beta 60.00
_cell_angle_gamma 60.00
loop_
_space_group_symop_operation_xyz
'x,y,z'
loop_
_atom_site_label
_atom_site_fract_x
_atom_site_fract_y
_atom_site_fract_z
Tb1 0.000 0.000 0.000
Pm1 0.250 0.250 0.250
```

## Properties
Crystal system   cubic
E above lowest polymorph   1761.9 meV per atom
Energy of formation from the pure elements   1.79 eV per atom

# 7
Below is Hf2W4Au3C3 after structural relaxation, with properties calculated at the PBE level.

Structure (CIF):
```
data_Hf2W4Au3C3
_chemical_formula_sum 'Hf4 W8 Au6 C6'
_space_group_name_H-M_alt 'P 1'
_space_group_IT_number 1
_cell_length_a 5.504
_cell_length_b 5.504
_cell_length_c 13.876
_cell_angle_alpha 101.44
_cell_angle_beta 101.44
_cell_angle_gamma 60.08
loop_
_space_group_symop_operation_xyz
'x,y,z'
loop_
_atom_site_label
_atom_site_fract_x
_atom_site_fract_y
_atom_site_fract_z
Hf1 0.035 0.873 0.605
Hf2 0.127 0.965 0.895
Hf3 0.873 0.035 0.105
Hf4 0.965 0.127 0.395
W1 0.192 0.353 0.077
W2 0.302 0.481 0.423
W3 0.353 0.192 0.577
W4 0.481 0.302 0.923
W5 0.519 0.698 0.077
W6 0.647 0.808 0.423
W7 0.698 0.519 0.577
W8 0.808 0.647 0.923
Au1 0.083 0.320 0.751
Au2 0.320 0.083 0.251
Au3 0.485 0.515 0.750
Au4 0.515 0.485 0.250
Au5 0.680 0.917 0.749
Au6 0.917 0.680 0.249
C1 0.000 0.500 0.500
C2 0.162 0.675 0.000
C3 0.325 0.838 0.500
C4 0.500 0.000 0.000
C5 0.675 0.162 0.500
C6 0.838 0.325 0.000
```

## Properties
Crystal system   monoclinic

# 8
Below is Tb5B after structural relaxation, with properties calculated at the PBE level.

Structure (CIF):
```
data_Tb5B
_chemical_formula_sum 'Tb5 B1'
_space_group_name_H-M_alt 'P 1'
_space_group_IT_number 1
_cell_length_a 6.173
_cell_length_b 6.173
_cell_length_c 5.917
_cell_angle_alpha 90.00
_cell_angle_beta 90.00
_cell_angle_gamma 120.00
loop_
_space_group_symop_operation_xyz
'x,y,z'
loop_
_atom_site_label
_atom_site_fract_x
_atom_site_fract_y
_atom_site_fract_z
Tb1 0.000 0.500 0.000
Tb2 0.333 0.667 0.500
Tb3 0.500 0.000 0.000
Tb4 0.500 0.500 0.000
Tb5 0.667 0.333 0.500
B1 0.000 0.000 0.500
```

## Properties
Crystal system   hexagonal

# 9
Below is CdInFeAg after structural relaxation, with properties calculated at the PBE level.

Structure (CIF):
```
data_CdInFeAg
_chemical_formula_sum 'Cd1 In1 Fe1 Ag1'
_space_group_name_H-M_alt 'P 1'
_space_group_IT_number 1
_cell_length_a 4.686
_cell_length_b 4.686
_cell_length_c 4.686
_cell_angle_alpha 60.00
_cell_angle_beta 60.00
_cell_angle_gamma 60.00
loop_
_space_group_symop_operation_xyz
'x,y,z'
loop_
_atom_site_label
_atom_site_fract_x
_atom_site_fract_y
_atom_site_fract_z
Cd1 0.000 0.000 0.000
In1 0.500 0.500 0.500
Fe1 0.750 0.750 0.750
Ag1 0.250 0.250 0.250
```

## Properties
Crystal system   cubic
E above lowest polymorph   0.0 meV per atom

# 10
Below is NiSnB4 after structural relaxation, with properties calculated at the PBE level.

Structure (CIF):
```
data_NiSnB4
_chemical_formula_sum 'Ni1 Sn1 B4'
_space_group_name_H-M_alt 'P 1'
_space_group_IT_number 1
_cell_length_a 3.027
_cell_length_b 3.027
_cell_length_c 8.059
_cell_angle_alpha 90.00
_cell_angle_beta 90.00
_cell_angle_gamma 120.00
loop_
_space_group_symop_operation_xyz
'x,y,z'
loop_
_atom_site_label
_atom_site_fract_x
_atom_site_fract_y
_atom_site_fract_z
Ni1 0.000 0.000 0.000
Sn1 0.000 0.000 0.500
B1 0.333 0.667 0.179
B2 0.333 0.667 0.821
B3 0.667 0.333 0.179
B4 0.667 0.333 0.821
```

## Properties
Crystal system   hexagonal
E above lowest polymorph   0.0 meV per atom

# 11
Below is NaSnAsOs after structural relaxation, with properties calculated at the PBE level.

Structure (CIF):
```
data_NaSnAsOs
_chemical_formula_sum 'Na1 Sn1 As1 Os1'
_space_group_name_H-M_alt 'P 1'
_space_group_IT_number 1
_cell_length_a 4.727
_cell_length_b 4.727
_cell_length_c 4.727
_cell_angle_alpha 60.00
_cell_angle_beta 60.00
_cell_angle_gamma 60.00
loop_
_space_group_symop_operation_xyz
'x,y,z'
loop_
_atom_site_label
_atom_site_fract_x
_atom_site_fract_y
_atom_site_fract_z
Na1 0.000 0.000 0.000
Sn1 0.250 0.250 0.250
As1 0.500 0.500 0.500
Os1 0.750 0.750 0.750
```

## Properties
Crystal system   cubic
E above lowest polymorph   512.6 meV per atom

# 12
Below is HgAsO3 after structural relaxation, with properties calculated at the PBE level.

Structure (CIF):
```
data_HgAsO3
_chemical_formula_sum 'Hg2 As2 O6'
_space_group_name_H-M_alt 'P 1'
_space_group_IT_number 1
_cell_length_a 3.698
_cell_length_b 4.783
_cell_length_c 8.230
_cell_angle_alpha 92.46
_cell_angle_beta 100.78
_cell_angle_gamma 90.88
loop_
_space_group_symop_operation_xyz
'x,y,z'
loop_
_atom_site_label
_atom_site_fract_x
_atom_site_fract_y
_atom_site_fract_z
Hg1 0.218 0.344 0.099
Hg2 0.782 0.656 0.901
As1 0.309 0.135 0.634
As2 0.691 0.865 0.366
O1 0.215 0.968 0.418
O2 0.317 0.483 0.649
O3 0.375 0.987 0.822
O4 0.625 0.013 0.178
O5 0.683 0.517 0.351
O6 0.785 0.032 0.582
```

## Properties
Crystal system   triclinic

# 13
Below is PmMgTc after structural relaxation, with properties calculated at the PBE level.

Structure (CIF):
```
data_PmMgTc
_chemical_formula_sum 'Pm1 Mg1 Tc1'
_space_group_name_H-M_alt 'P 1'
_space_group_IT_number 1
_cell_length_a 4.764
_cell_length_b 4.764
_cell_length_c 4.764
_cell_angle_alpha 60.00
_cell_angle_beta 60.00
_cell_angle_gamma 60.00
loop_
_space_group_symop_operation_xyz
'x,y,z'
loop_
_atom_site_label
_atom_site_fract_x
_atom_site_fract_y
_atom_site_fract_z
Pm1 0.000 0.000 0.000
Mg1 0.750 0.750 0.750
Tc1 0.250 0.250 0.250
```

## Properties
Crystal system   cubic

# 14
Below is AlCu2BSe4 after structural relaxation, with properties calculated at the PBE level.

Structure (CIF):
```
data_AlCu2BSe4
_chemical_formula_sum 'Al1 Cu2 B1 Se4'
_space_group_name_H-M_alt 'P 1'
_space_group_IT_number 1
_cell_length_a 6.531
_cell_length_b 6.531
_cell_length_c 6.531
_cell_angle_alpha 130.56
_cell_angle_beta 130.56
_cell_angle_gamma 72.51
loop_
_space_group_symop_operation_xyz
'x,y,z'
loop_
_atom_site_label
_atom_site_fract_x
_atom_site_fract_y
_atom_site_fract_z
Al1 0.000 0.000 0.000
Cu1 0.250 0.750 0.500
Cu2 0.500 0.500 0.000
B1 0.750 0.250 0.500
Se1 0.089 0.585 0.946
Se2 0.415 0.360 0.503
Se3 0.640 0.143 0.054
Se4 0.857 0.911 0.497
```

## Properties
Crystal system   tetragonal

# 15
Below is PmY after structural relaxation, with properties calculated at the PBE level.

Structure (CIF):
```
data_PmY
_chemical_formula_sum 'Pm1 Y1'
_space_group_name_H-M_alt 'P 1'
_space_group_IT_number 1
_cell_length_a 4.604
_cell_length_b 4.604
_cell_length_c 4.604
_cell_angle_alpha 60.00
_cell_angle_beta 60.00
_cell_angle_gamma 60.00
loop_
_space_group_symop_operation_xyz
'x,y,z'
loop_
_atom_site_label
_atom_site_fract_x
_atom_site_fract_y
_atom_site_fract_z
Pm1 0.000 0.000 0.000
Y1 0.500 0.500 0.500
```

## Properties
Crystal system   cubic
E above lowest polymorph   689.5 meV per atom
Energy of formation from the pure elements   0.72 eV per atom

# 16
Below is RbGe5W3 after structural relaxation, with properties calculated at the PBE level.

Structure (CIF):
```
data_RbGe5W3
_chemical_formula_sum 'Rb1 Ge5 W3'
_space_group_name_H-M_alt 'P 1'
_space_group_IT_number 1
_cell_length_a 5.359
_cell_length_b 5.359
_cell_length_c 8.718
_cell_angle_alpha 90.00
_cell_angle_beta 90.00
_cell_angle_gamma 120.00
loop_
_space_group_symop_operation_xyz
'x,y,z'
loop_
_atom_site_label
_atom_site_fract_x
_atom_site_fract_y
_atom_site_fract_z
Rb1 0.000 0.000 0.000
Ge1 0.000 0.000 0.500
Ge2 0.333 0.667 0.242
Ge3 0.333 0.667 0.758
Ge4 0.667 0.333 0.242
Ge5 0.667 0.333 0.758
W1 0.000 0.500 0.500
W2 0.500 0.000 0.500
W3 0.500 0.500 0.500
```

## Properties
Crystal system   hexagonal

# 17
Below is InAg3GeSe4 after structural relaxation, with properties calculated at the PBE level.

Structure (CIF):
```
data_InAg3GeSe4
_chemical_formula_sum 'In2 Ag6 Ge2 Se8'
_space_group_name_H-M_alt 'P 1'
_space_group_IT_number 1
_cell_length_a 6.726
_cell_length_b 7.743
_cell_length_c 10.108
_cell_angle_alpha 90.00
_cell_angle_beta 105.65
_cell_angle_gamma 90.00
loop_
_space_group_symop_operation_xyz
'x,y,z'
loop_
_atom_site_label
_atom_site_fract_x
_atom_site_fract_y
_atom_site_fract_z
In1 0.159 0.250 0.089
In2 0.841 0.750 0.911
Ag1 0.237 0.058 0.548
Ag2 0.237 0.442 0.548
Ag3 0.314 0.250 0.831
Ag4 0.686 0.750 0.169
Ag5 0.763 0.558 0.452
Ag6 0.763 0.942 0.452
Ge1 0.195 0.750 0.280
Ge2 0.805 0.250 0.720
Se1 0.023 0.502 0.729
Se2 0.023 0.998 0.729
Se3 0.292 0.750 0.073
Se4 0.451 0.750 0.499
Se5 0.549 0.250 0.501
Se6 0.708 0.250 0.927
Se7 0.977 0.002 0.271
Se8 0.977 0.498 0.271
```

## Properties
Crystal system   monoclinic
E above lowest polymorph   0.0 meV per atom

# 18
Below is Rb2As2Pt3 after structural relaxation, with properties calculated at the PBE level.

Structure (CIF):
```
data_Rb2As2Pt3
_chemical_formula_sum 'Rb2 As2 Pt3'
_space_group_name_H-M_alt 'P 1'
_space_group_IT_number 1
_cell_length_a 11.131
_cell_length_b 11.131
_cell_length_c 11.131
_cell_angle_alpha 22.77
_cell_angle_beta 22.77
_cell_angle_gamma 22.77
loop_
_space_group_symop_operation_xyz
'x,y,z'
loop_
_atom_site_label
_atom_site_fract_x
_atom_site_fract_y
_atom_site_fract_z
Rb1 0.000 0.000 0.000
Rb2 0.427 0.427 0.427
As1 0.174 0.174 0.174
As2 0.606 0.606 0.606
Pt1 0.251 0.251 0.251
Pt2 0.533 0.533 0.533
Pt3 0.830 0.830 0.830
```

## Properties
Crystal system   trigonal

# 19
Below is AlCuPbS3 after structural relaxation, with properties calculated at the PBE level.

Structure (CIF):
```
data_AlCuPbS3
_chemical_formula_sum 'Al2 Cu2 Pb2 S6'
_space_group_name_H-M_alt 'P 1'
_space_group_IT_number 1
_cell_length_a 6.844
_cell_length_b 6.844
_cell_length_c 9.930
_cell_angle_alpha 90.00
_cell_angle_beta 90.00
_cell_angle_gamma 149.23
loop_
_space_group_symop_operation_xyz
'x,y,z'
loop_
_atom_site_label
_atom_site_fract_x
_atom_site_fract_y
_atom_site_fract_z
Al1 0.000 0.000 0.000
Al2 0.000 0.000 0.500
Cu1 0.396 0.604 0.750
Cu2 0.604 0.396 0.250
Pb1 0.295 0.705 0.250
Pb2 0.705 0.295 0.750
S1 0.041 0.959 0.750
S2 0.378 0.622 0.528
S3 0.378 0.622 0.972
S4 0.622 0.378 0.028
S5 0.622 0.378 0.472
S6 0.959 0.041 0.250
```

## Properties
Crystal system   orthorhombic

# 20
Below is ZrNbTl2 after structural relaxation, with properties calculated at the PBE level.

Structure (CIF):
```
data_ZrNbTl2
_chemical_formula_sum 'Zr1 Nb1 Tl2'
_space_group_name_H-M_alt 'P 1'
_space_group_IT_number 1
_cell_length_a 5.035
_cell_length_b 5.035
_cell_length_c 5.035
_cell_angle_alpha 60.00
_cell_angle_beta 60.00
_cell_angle_gamma 60.00
loop_
_space_group_symop_operation_xyz
'x,y,z'
loop_
_atom_site_label
_atom_site_fract_x
_atom_site_fract_y
_atom_site_fract_z
Zr1 0.000 0.000 0.000
Nb1 0.250 0.250 0.250
Tl1 0.500 0.500 0.500
Tl2 0.750 0.750 0.750
```

## Properties
Crystal system   cubic

| no. | DFT total energy (eV/atom) |
| --- | --- |
| 1 | -4.145 |
| 2 | -4.458 |
| 3 | -2.987 |
| 4 | -3.355 |
| 5 | -5.106 |
| 6 | -2.900 |
| 7 | -9.354 |
| 8 | -3.721 |
| 9 | -3.459 |
| 10 | -5.697 |
| 11 | -4.538 |
| 12 | -4.711 |
| 13 | -4.366 |
| 14 | -4.339 |
| 15 | -4.890 |
| 16 | -6.857 |
| 17 | -3.492 |
| 18 | -4.384 |
| 19 | -4.516 |
| 20 | -5.215 |